[1]
NaRuAu2: optimized geometry, PBE-GGA.

abc: 4.0546 4.0546 18.9199
angles: 90.00 90.00 90.00
Space group I-42d (No. 122)
Symmetry-distinct sites (fractional):
Na 0.0000 0.0000 0.0000
Ru 0.0000 0.0000 0.5000
Au 0.2432 0.2500 0.6250

Uncorrected energy (eV per cell): -57.42
E above lowest polymorph (meV per atom): 345
ΔH_f (0 K) (kJ per mole of atoms): 67


[2]
Na2RuAu: optimized geometry, PBE-GGA.

abc: 7.9976 7.9976 5.4084
angles: 90.00 90.00 90.00
Space group I-42d (No. 122)
Symmetry-distinct sites (fractional):
Na 0.2410 0.2500 0.1250
Ru 0.0000 0.0000 0.5000
Au 0.0000 0.0000 0.0000

Uncorrected energy (eV per cell): -49.54
E above lowest polymorph (meV per atom): 0
ΔH_f (0 K) (kJ per mole of atoms): 68


[3]
Na2RuAu: optimized geometry, PBE-GGA.

abc: 6.7476 6.7476 6.7476
angles: 90.00 90.00 90.00
Space group Fm-3m (No. 225)
Symmetry-distinct sites (fractional):
Na 0.2500 0.2500 0.2500
Ru 0.0000 0.0000 0.0000
Au 0.0000 0.0000 0.5000

Uncorrected energy (eV per cell): -49.38
E above lowest polymorph (meV per atom): 10
ΔH_f (0 K) (kJ per mole of atoms): 69


[4]
NaRuAu2: optimized geometry, PBE-GGA.

abc: 6.5652 6.5652 6.5652
angles: 90.00 90.00 90.00
Space group Fm-3m (No. 225)
Symmetry-distinct sites (fractional):
Na 0.0000 0.0000 0.0000
Ru 0.0000 0.0000 0.5000
Au 0.2500 0.2500 0.2500

Uncorrected energy (eV per cell): -62.95
E above lowest polymorph (meV per atom): 0
ΔH_f (0 K) (kJ per mole of atoms): 34


[5]
NaRu2Au: optimized geometry, PBE-GGA.

abc: 7.7961 7.7961 4.9524
angles: 90.00 90.00 90.00
Space group I-42d (No. 122)
Symmetry-distinct sites (fractional):
Na 0.0000 0.0000 0.0000
Ru 0.2133 0.2500 0.6250
Au 0.0000 0.0000 0.5000

Uncorrected energy (eV per cell): -76.04
E above lowest polymorph (meV per atom): 117
ΔH_f (0 K) (kJ per mole of atoms): 100


[6]
NaRu2Au: optimized geometry, PBE-GGA.

abc: 6.3424 6.3424 6.3424
angles: 90.00 90.00 90.00
Space group Fm-3m (No. 225)
Symmetry-distinct sites (fractional):
Na 0.0000 0.0000 0.0000
Ru 0.2500 0.2500 0.2500
Au 0.0000 0.0000 0.5000

Uncorrected energy (eV per cell): -77.91
E above lowest polymorph (meV per atom): 0
ΔH_f (0 K) (kJ per mole of atoms): 89


[7]
Na3RuAu: optimized geometry, PBE-GGA.

abc: 5.5779 5.5779 5.5779
angles: 90.00 90.00 90.00
Space group Pm-3m (No. 221)
Symmetry-distinct sites (fractional):
Na 0.0000 0.0000 0.5000
Ru 0.0000 0.0000 0.0000
Au 0.5000 0.5000 0.5000

Uncorrected energy (eV per cell): -11.49
E above lowest polymorph (meV per atom): 91
ΔH_f (0 K) (kJ per mole of atoms): 97


[8]
NaRu3Au: optimized geometry, PBE-GGA.

abc: 4.9669 4.9669 4.9669
angles: 90.00 90.00 90.00
Space group Pm-3m (No. 221)
Symmetry-distinct sites (fractional):
Na 0.0000 0.0000 0.0000
Ru 0.0000 0.5000 0.5000
Au 0.5000 0.5000 0.5000

Uncorrected energy (eV per cell): -22.79
E above lowest polymorph (meV per atom): 0
ΔH_f (0 K) (kJ per mole of atoms): 186